No. 1
Compound: Na3TlPd
Source: Alexandria via LeMat-Bulk
Functional: PBE
Structure: relaxed

## Properties
**E**: -2.38 eV per atom
**Polymorph energy (0 for the lowest one)**: 41 meV per atom
**DOS(E_F)**: 4.3 states/eV per cell
**Size of the total moment**: 0.0000 μB per atom
**Calculated volume**: 29.50 Å³/atom
**ΔE_f**: -0.41 eV per formula unit

Cell lengths 7.2718, 7.2718, 7.5675 Å; angles 120.80, 120.80, 76.74 degrees
Element x y z (fractional)
1 Na 0.0530 0.0530 0.3419
2 Na 0.0897 0.4696 0.2296
3 Na 0.4696 0.0897 0.2296
4 Na 0.5304 0.9103 0.7704
5 Na 0.9103 0.5304 0.7704
6 Na 0.9470 0.9470 0.6581
7 Tl 0.4273 0.4273 0.7140
8 Tl 0.5727 0.5727 0.2860
9 Pd 0.2718 0.2718 0.8830
10 Pd 0.7282 0.7282 0.1170

---

No. 2
Compound: NaTl2Pd
Source: Alexandria via LeMat-Bulk
Functional: PBE
Structure: relaxed

## Properties
**E**: -2.95 eV per atom
**DOS(E_F)**: 1.5 states/eV per cell
**Size of the total moment**: 0.0000 μB per atom
**Calculated volume**: 22.08 Å³/atom
**ΔE_f**: -0.55 eV per formula unit

Cell lengths 4.9983, 4.9983, 4.9983 Å; angles 60.00, 60.00, 60.00 degrees
Element x y z (fractional)
1 Na 0.0000 0.0000 0.0000
2 Tl 0.2500 0.2500 0.2500
3 Tl 0.7500 0.7500 0.7500
4 Pd 0.5000 0.5000 0.5000

---

No. 3
Compound: NaTl2Pd
Source: Alexandria via LeMat-Bulk
Functional: PBE
Structure: relaxed

## Properties
**E**: -2.89 eV per atom
**DOS(E_F)**: 1.3 states/eV per cell
**Size of the total moment**: 0.0000 μB per atom
**Calculated volume**: 27.16 Å³/atom
**ΔE_f**: -0.31 eV per formula unit

Cell lengths 7.3462, 7.3462, 7.3462 Å; angles 33.68, 33.68, 33.68 degrees
Element x y z (fractional)
1 Na 0.0000 0.0000 0.0000
2 Tl 0.2324 0.2324 0.2324
3 Tl 0.7676 0.7676 0.7676
4 Pd 0.5000 0.5000 0.5000

---

No. 4
Compound: Na5Tl6Pd5
Source: Alexandria via LeMat-Bulk
Functional: PBE
Structure: relaxed

## Properties
**E**: -3.06 eV per atom
**DOS(E_F)**: 6.2 states/eV per cell
**Size of the total moment**: 0.0000 μB per atom
**Calculated volume**: 22.51 Å³/atom
**ΔE_f**: -2.25 eV per formula unit

Cell lengths 5.7220, 8.4377, 8.4377 Å; angles 117.84, 90.00, 90.00 degrees
Element x y z (fractional)
1 Na 0.0000 0.0000 0.0000
2 Na 0.0000 0.2602 0.4782
3 Na 0.0000 0.4782 0.2602
4 Na 0.5000 0.0370 0.2690
5 Na 0.5000 0.2690 0.0370
6 Tl 0.0000 0.2896 0.8615
7 Tl 0.0000 0.6540 0.6540
8 Tl 0.0000 0.8615 0.2896
9 Tl 0.5000 0.3101 0.6860
10 Tl 0.5000 0.6860 0.3101
11 Tl 0.5000 0.8127 0.8127
12 Pd 0.2507 0.6234 0.9754
13 Pd 0.2507 0.9754 0.6234
14 Pd 0.5000 0.4650 0.4650
15 Pd 0.7493 0.6234 0.9754
16 Pd 0.7493 0.9754 0.6234

---

No. 5
Compound: Na8Tl2Pd
Source: Alexandria via LeMat-Bulk
Functional: PBE
Structure: relaxed

## Properties
**E**: -1.89 eV per atom
**DOS(E_F)**: 5.3 states/eV per cell
**Size of the total moment**: 0.0000 μB per atom
**Calculated volume**: 31.51 Å³/atom
**ΔE_f**: -0.34 eV per formula unit

Cell lengths 8.1163, 8.1163, 6.0413 Å; angles 100.86, 100.86, 63.26 degrees
Element x y z (fractional)
1 Na 0.1210 0.7124 0.6653
2 Na 0.1533 0.1533 0.8683
3 Na 0.2876 0.8790 0.3347
4 Na 0.3899 0.3899 0.0256
5 Na 0.6101 0.6101 0.9744
6 Na 0.7124 0.1210 0.6653
7 Na 0.8467 0.8467 0.1317
8 Na 0.8790 0.2876 0.3347
9 Tl 0.2906 0.2906 0.4480
10 Tl 0.7094 0.7094 0.5520
11 Pd 0.5000 0.5000 0.5000

---

No. 6
Compound: Na2Tl4Pd3
Source: Alexandria via LeMat-Bulk
Functional: PBE
Structure: relaxed

## Properties
**E**: -3.25 eV per atom
**Polymorph energy (0 for the lowest one)**: 4 meV per atom
**DOS(E_F)**: 7.5 states/eV per cell
**Size of the total moment**: 0.0000 μB per atom
**Calculated volume**: 23.23 Å³/atom
**ΔE_f**: -1.53 eV per formula unit

Cell lengths 8.5168, 8.5168, 8.6511 Å; angles 90.00, 90.00, 138.22 degrees
Element x y z (fractional)
1 Na 0.1165 0.8835 0.9021
2 Na 0.3835 0.6165 0.4021
3 Na 0.6165 0.3835 0.5979
4 Na 0.8835 0.1165 0.0979
5 Tl 0.1851 0.8149 0.5233
6 Tl 0.1979 0.3021 0.7500
7 Tl 0.3021 0.1979 0.2500
8 Tl 0.3149 0.6851 0.0233
9 Tl 0.6851 0.3149 0.9767
10 Tl 0.6979 0.8021 0.7500
11 Tl 0.8021 0.6979 0.2500
12 Tl 0.8149 0.1851 0.4767
13 Pd 0.0000 0.0000 0.5000
14 Pd 0.0210 0.4790 0.7500
15 Pd 0.4790 0.0210 0.2500
16 Pd 0.5000 0.5000 0.0000
17 Pd 0.5210 0.9790 0.7500
18 Pd 0.9790 0.5210 0.2500

---

No. 7
Compound: Na4Tl4Pd
Source: Alexandria via LeMat-Bulk
Functional: PBE
Structure: relaxed

## Properties
**E**: -2.20 eV per atom
**Polymorph energy (0 for the lowest one)**: 93 meV per atom
**DOS(E_F)**: 4.1 states/eV per cell
**Size of the total moment**: 0.0000 μB per atom
**Calculated volume**: 29.46 Å³/atom
**ΔE_f**: 0.16 eV per formula unit

Cell lengths 8.1075, 8.1075, 8.1075 Å; angles 134.70, 134.70, 66.00 degrees
Element x y z (fractional)
1 Na 0.0000 0.5000 0.5000
2 Na 0.1141 0.1141 0.0000
3 Na 0.5000 0.0000 0.5000
4 Na 0.8859 0.8859 0.0000
5 Tl 0.1421 0.4938 0.0000
6 Tl 0.4938 0.1421 0.0000
7 Tl 0.5062 0.5062 0.6483
8 Tl 0.8579 0.8579 0.3517
9 Pd 0.5000 0.5000 0.0000

---

No. 8
Compound: NaTl12Pd6
Source: Alexandria via LeMat-Bulk
Functional: PBE
Structure: relaxed

## Properties
**E**: -3.24 eV per atom
**DOS(E_F)**: 11.8 states/eV per cell
**Size of the total moment**: 0.0000 μB per atom
**Calculated volume**: 24.36 Å³/atom
**ΔE_f**: -0.59 eV per formula unit

Cell lengths 8.4398, 8.4398, 8.4398 Å; angles 109.47, 109.47, 109.47 degrees
Element x y z (fractional)
1 Na 0.0000 0.0000 0.0000
2 Tl 0.1089 0.2856 0.8233
3 Tl 0.1767 0.4623 0.2856
4 Tl 0.1767 0.8911 0.7144
5 Tl 0.2856 0.1767 0.4623
6 Tl 0.2856 0.8233 0.1089
7 Tl 0.4623 0.2856 0.1767
8 Tl 0.5377 0.7144 0.8233
9 Tl 0.7144 0.1767 0.8911
10 Tl 0.7144 0.8233 0.5377
11 Tl 0.8233 0.1089 0.2856
12 Tl 0.8233 0.5377 0.7144
13 Tl 0.8911 0.7144 0.1767
14 Pd 0.1402 0.5000 0.6402
15 Pd 0.3598 0.8598 0.5000
16 Pd 0.5000 0.3598 0.8598
17 Pd 0.5000 0.6402 0.1402
18 Pd 0.6402 0.1402 0.5000
19 Pd 0.8598 0.5000 0.3598